# Zr3CrCd

A relaxed Zr3CrCd crystal (PBE-GGA, Alexandria).

Cell: 4.8622 4.8622 4.8622 Å, 90.00 90.00 90.00°
Atoms (fractional coordinates):
Cr1 0.0000 0.0000 0.0000
Cd1 0.5000 0.5000 0.5000
Zr1 0.5000 0.0000 0.0000
Zr2 0.0000 0.0000 0.5000
Zr3 0.0000 0.5000 0.0000

Results
The energy above the most stable polymorph in this dataset is 0 meV/atom. Its energy of formation from the pure elements is 2.3 eV/f.u. The calculation puts the raw total energy at -6.7861 eV per atom. As for the total magnetic moment: 0.00 Bohr magnetons per cell.